A plane-wave DFT calculation with PBE was carried out for HgSb2W after structural relaxation.

## Properties
The value obtained for the energy relative to the elements, uncorrected is 0.61 eV per atom. As for the total energy: -4.765 eV per atom. The magnetic moment is 0.000 μB per atom.

a b c (Å): 3.2531 3.2531 8.6578
angles (deg): 90.00 90.00 90.00
Fractional coordinates of all 4 atoms:
1 Hg 0.5000 0.5000 0.7118
2 Sb 0.0000 0.0000 0.9925
3 Sb 0.5000 0.5000 0.3067
4 W 0.0000 0.0000 0.4890